Density functional theory data (PBE with a Hubbard U) for an optimized crystal structure of CaFePO2.

Lattice parameters (Å, degrees): 3.963 3.963 4.693 90.00 90.00 90.00
Each line ends with the local moment (μB).
Sites, in units of the cell vectors:
P: 0.000 0.000 0.500  -0.17
Ca: 0.500 0.500 0.500  0.01
Fe: 0.000 0.000 0.000  3.85
O: 0.000 0.500 0.000  0.02
O: 0.500 0.000 0.000  0.02

## Properties
For the energy, the calculation gives -5.426 eV/atom. The density is 3.581 g cm⁻³. Its space group is P4/mmm. The value obtained for the density of states at the Fermi level is 3.12 states/eV/cell.